Below is K8Na3Au2 after structural relaxation, with properties calculated at the PBE-GGA level.

Cell lengths 5.2076, 10.7336, 12.3833 Å; angles 115.68, 89.94, 90.00 degrees
With the nearest neighbours (Å) after each atom.
Fractional positions:
K1 0.2887 0.5793 0.1585  1 Au 3.52, 2 Na 3.92
K2 0.7113 0.4207 0.8415  1 Au 3.52, 2 Na 3.92
K3 0.2344 0.1564 0.3128  2 Au 3.50-3.56, 1 Na 3.75
K4 0.7656 0.8436 0.6872  2 Au 3.50-3.56, 1 Na 3.75
K5 0.2468 0.1133 0.6326  3 Au 3.57-3.65
K6 0.2468 0.5193 0.6326  3 Au 3.57-3.65
K7 0.7532 0.4807 0.3674  3 Au 3.57-3.65
K8 0.7532 0.8867 0.3674  3 Au 3.57-3.65
Na1 0.5000 0.0000 0.0000  4 Na 3.42, 2 K 3.75
Na2 0.0000 0.7939 0.0000  2 Na 3.42
Na3 0.0000 0.2061 0.0000  2 Na 3.42
Au1 0.7407 0.2631 0.5262  9 K 3.50-3.65
Au2 0.2593 0.7369 0.4738  9 K 3.50-3.65

Raw total energy: -1.5550 eV per atom
Space group: No. 12